Record 1
DFT (PBE) results for an optimized crystal structure of MgTlOs.

The structure in extended XYZ format:
```
3
Lattice="-1.5240 1.5240 6.2759 1.5240 -1.5240 6.2759 1.5240 1.5240 -6.2759" Properties=species:S:1:pos:R:3 pbc="T T T"
Mg 0.0000 0.0000 0.0000
Tl 0.0000 0.0000 8.8649
Os 0.0000 0.0000 4.5953
```

Properties
Its space group is No. 107. The value obtained for the formation energy is 0.577 eV/atom. The calculation puts the density at 11931 kg/m³. Its density of states at the Fermi level is 1.14 states/eV per atom. The energy relative to the lowest polymorph listed for this composition comes out at 0.0420 eV per atom. Its crystal system is tetragonal.



Record 2
DFT (PBE) results for an optimized crystal structure of Mg3TlOs.

The structure in extended XYZ format:
```
5
Lattice="5.0560 0.0000 0.0000 0.0000 5.0560 0.0000 0.0000 0.0000 5.0560" Properties=species:S:1:pos:R:3 pbc="T T T"
Mg 0.0000 0.0000 2.5280
Mg 0.0000 2.5280 0.0000
Mg 2.5280 0.0000 0.0000
Tl 2.5280 2.5280 2.5280
Os 0.0000 0.0000 0.0000
```

Properties
Its space group is No. 221. The value obtained for the formation energy is 0.449 eV/atom. The calculation puts the density at 6007 kg/m³. Its density of states at the Fermi level is 0.42 states/eV per atom. The energy relative to the lowest polymorph listed for this composition comes out at 0.0000 eV per atom. Its crystal system is cubic.



Record 3
DFT (PBE) results for an optimized crystal structure of Mg2TlOs.

The structure in extended XYZ format:
```
4
Lattice="4.4406 0.0000 0.0000 0.0000 4.4406 0.0000 0.0000 0.0000 3.6707" Properties=species:S:1:pos:R:3 pbc="T T T"
Mg 0.0000 2.2203 0.0000
Mg 2.2203 0.0000 0.0000
Tl 0.0000 0.0000 1.8354
Os 2.2203 2.2203 1.8354
```

Properties
Its space group is No. 123. The value obtained for the formation energy is 0.336 eV/atom. The calculation puts the density at 10168 kg/m³. Its density of states at the Fermi level is 0.47 states/eV per atom. The energy relative to the lowest polymorph listed for this composition comes out at 0.1088 eV per atom. Its crystal system is tetragonal.



Record 4
DFT (PBE) results for an optimized crystal structure of MgTlOs.

The structure in extended XYZ format:
```
3
Lattice="0.0000 3.2036 3.2036 3.2036 0.0000 3.2036 3.2036 3.2036 0.0000" Properties=species:S:1:pos:R:3 pbc="T T T"
Mg 0.0000 0.0000 0.0000
Tl 3.2036 3.2036 3.2036
Os 1.6018 1.6018 1.6018
```

Properties
Its space group is No. 216. The value obtained for the formation energy is 0.754 eV/atom. The calculation puts the density at 10579 kg/m³. Its density of states at the Fermi level is 1.68 states/eV per atom. The energy relative to the lowest polymorph listed for this composition comes out at 0.2187 eV per atom. Its crystal system is cubic.



Record 5
DFT (PBE) results for an optimized crystal structure of MgTlOs.

The structure in extended XYZ format:
```
3
Lattice="4.7611 0.0000 0.0000 -2.3806 4.1233 0.0000 0.0000 0.0000 2.8813" Properties=species:S:1:pos:R:3 pbc="T T T"
Mg 0.0000 0.0000 0.0000
Tl 0.0000 2.7489 1.4406
Os 2.3806 1.3744 1.4406
```

Properties
Its space group is No. 187. The value obtained for the formation energy is 0.592 eV/atom. The calculation puts the density at 12298 kg/m³. Its density of states at the Fermi level is 0.66 states/eV per atom. The energy relative to the lowest polymorph listed for this composition comes out at 0.0573 eV per atom. Its crystal system is hexagonal.



Record 6
DFT (PBE) results for an optimized crystal structure of Mg2TlOs.

The structure in extended XYZ format:
```
4
Lattice="1.6599 -2.4943 0.0000 1.6599 2.4943 0.0000 0.0000 0.0000 9.6989" Properties=species:S:1:pos:R:3 pbc="T T T"
Mg 0.0000 0.0000 0.0000
Mg 1.6599 0.0000 2.6100
Tl 1.6599 0.0000 7.0038
Os 0.0000 0.0000 4.6579
```

Properties
Its space group is No. 35. The value obtained for the formation energy is 0.513 eV/atom. The calculation puts the density at 9164 kg/m³. Its density of states at the Fermi level is 0.73 states/eV per atom. The energy relative to the lowest polymorph listed for this composition comes out at 0.2858 eV per atom. Its crystal system is orthorhombic.



Record 7
DFT (PBE) results for an optimized crystal structure of Mg2TlOs.

The structure in extended XYZ format:
```
4
Lattice="3.2202 0.0000 0.0000 0.0000 3.2202 0.0000 0.0000 0.0000 7.6040" Properties=species:S:1:pos:R:3 pbc="T T T"
Mg 0.0000 0.0000 1.4818
Mg 0.0000 0.0000 6.1222
Tl 1.6101 1.6101 3.8020
Os 1.6101 1.6101 0.0000
```

Properties
Its space group is No. 123. The value obtained for the formation energy is 0.227 eV/atom. The calculation puts the density at 9334 kg/m³. Its density of states at the Fermi level is 0.83 states/eV per atom. The energy relative to the lowest polymorph listed for this composition comes out at 0.0000 eV per atom. Its crystal system is tetragonal.



Record 8
DFT (PBE) results for an optimized crystal structure of Mg2TlOs.

The structure in extended XYZ format:
```
4
Lattice="0.0000 3.3131 3.3131 3.3131 0.0000 3.3131 3.3131 3.3131 0.0000" Properties=species:S:1:pos:R:3 pbc="T T T"
Mg 1.6565 1.6565 1.6565
Mg 4.9696 4.9696 4.9696
Tl 0.0000 0.0000 0.0000
Os 3.3131 3.3131 3.3131
```

Properties
Its space group is No. 225. The value obtained for the formation energy is 0.356 eV/atom. The calculation puts the density at 10119 kg/m³. Its density of states at the Fermi level is 0.46 states/eV per atom. The energy relative to the lowest polymorph listed for this composition comes out at 0.1283 eV per atom. Its crystal system is cubic.



Record 9
DFT (PBE) results for an optimized crystal structure of MgTlOs.

The structure in extended XYZ format:
```
3
Lattice="0.0000 2.4587 7.0221 1.6751 0.0000 7.0221 1.6751 2.4587 0.0000" Properties=species:S:1:pos:R:3 pbc="T T T"
Mg 0.0000 0.0000 0.0000
Tl 1.6751 2.4587 9.7123
Os 1.6751 2.4587 5.0131
```

Properties
Its space group is No. 42. The value obtained for the formation energy is 0.649 eV/atom. The calculation puts the density at 12027 kg/m³. Its density of states at the Fermi level is 0.80 states/eV per atom. The energy relative to the lowest polymorph listed for this composition comes out at 0.1139 eV per atom. Its crystal system is orthorhombic.



Record 10
DFT (PBE) results for an optimized crystal structure of Mg4TlOs.

The structure in extended XYZ format:
```
6
Lattice="0.0000 3.8756 3.8756 3.8756 0.0000 3.8756 3.8756 3.8756 0.0000" Properties=species:S:1:pos:R:3 pbc="T T T"
Mg 0.9619 0.9619 0.9619
Mg 2.9137 2.9137 0.9619
Mg 2.9137 0.9619 2.9137
Mg 0.9619 2.9137 2.9137
Tl 3.8756 3.8756 3.8756
Os 5.8134 5.8134 5.8134
```

Properties
Its space group is No. 216. The value obtained for the formation energy is 0.502 eV/atom. The calculation puts the density at 7015 kg/m³. Its density of states at the Fermi level is 0.95 states/eV per atom. Its crystal system is cubic.



Record 11
DFT (PBE) results for an optimized crystal structure of MgTl4Os.

The structure in extended XYZ format:
```
6
Lattice="0.0000 4.2988 4.2988 4.2988 0.0000 4.2988 4.2988 4.2988 0.0000" Properties=species:S:1:pos:R:3 pbc="T T T"
Mg 0.0000 0.0000 0.0000
Tl 3.2284 3.2284 3.2284
Tl 5.3692 5.3692 3.2284
Tl 5.3692 3.2284 5.3692
Tl 3.2284 5.3692 5.3692
Os 6.4482 6.4482 6.4482
```

Properties
Its space group is No. 216. The value obtained for the formation energy is 1.026 eV/atom. The calculation puts the density at 10787 kg/m³. Its density of states at the Fermi level is 0.71 states/eV per atom. Its crystal system is cubic.



Record 12
DFT (PBE) results for an optimized crystal structure of Mg2TlOs.

The structure in extended XYZ format:
```
8
Lattice="-2.0479 2.0479 9.7342 2.0479 -2.0479 9.7342 2.0479 2.0479 -9.7342" Properties=species:S:1:pos:R:3 pbc="T T T"
Mg 3.0718 0.9158 -2.4335
Mg 0.9158 1.0239 2.4335
Mg -1.0239 1.1320 7.3006
Mg 1.1320 1.0239 12.1677
Tl 2.0479 0.0000 4.8671
Tl 0.0000 0.0000 9.7342
Os 0.0000 0.0000 0.0000
Os 0.0000 2.0479 4.8671
```

Properties
Its space group is No. 122. The value obtained for the formation energy is 0.693 eV/atom. The calculation puts the density at 9015 kg/m³. Its density of states at the Fermi level is 1.11 states/eV per atom. The energy relative to the lowest polymorph listed for this composition comes out at 0.4655 eV per atom. Its crystal system is tetragonal.



What did the sixth record say?
DFT (PBE) results for an optimized crystal structure of Mg2TlOs.

The structure in extended XYZ format:
```
4
Lattice="1.6599 -2.4943 0.0000 1.6599 2.4943 0.0000 0.0000 0.0000 9.6989" Properties=species:S:1:pos:R:3 pbc="T T T"
Mg 0.0000 0.0000 0.0000
Mg 1.6599 0.0000 2.6100
Tl 1.6599 0.0000 7.0038
Os 0.0000 0.0000 4.6579
```

Properties
Its space group is No. 35. The value obtained for the formation energy is 0.513 eV/atom. The calculation puts the density at 9164 kg/m³. Its density of states at the Fermi level is 0.73 states/eV per atom. The energy relative to the lowest polymorph listed for this composition comes out at 0.2858 eV per atom. Its crystal system is orthorhombic.



The highest density belongs to which entry?
number 5